<A>
Ag2RuPt GGA-PBE optimized geometry; DOS at the Fermi energy = 2.65 states/eV/cell; calculated volume = 16.373 Å³/atom; SG = No. 123; size of the total moment = 0.468 μB/atom
1.0
2.757 0.000 0.000
0.000 2.757 0.000
0.000 0.000 8.614
Ag Pt Ru
2 1 1
direct
0.000 0.000 0.500
0.000 0.000 0.000
0.500 0.500 0.250
0.500 0.500 0.750

---

<B>
Ag2RuPt GGA-PBE optimized geometry; DOS at the Fermi energy = 4.08 states/eV/cell; calculated volume = 16.337 Å³/atom; SG = No. 65; size of the total moment = 0.340 μB/atom
1.0
-2.485 3.608 2.749
-2.976 -3.495 -2.382
0.115 -1.597 2.200
Ag Pt Ru
2 1 1
direct
0.000 0.000 0.000
0.500 0.500 0.000
0.500 0.000 0.500
0.000 0.500 0.500

---

<C>
Ag2RuPt GGA-PBE optimized geometry; DOS at the Fermi energy = 3.67 states/eV/cell; calculated volume = 16.071 Å³/atom; SG = No. 166; size of the total moment = 0.137 μB/atom
1.0
9.651 -0.015 -0.009
9.251 2.750 -0.009
9.251 1.338 2.402
Ag Ru Pt
2 1 1
direct
0.000 0.000 0.000
0.500 0.500 0.500
0.750 0.750 0.750
0.250 0.250 0.250

---

<C> ends up most stable, edging out the next structure by 0.111 eV/atom.

---

<A>
Ag2RuPt GGA-PBE optimized geometry; DOS at the Fermi energy = 3.53 states/eV/cell; calculated volume = 16.259 Å³/atom; SG = No. 99; size of the total moment = 0.000 μB/atom
1.0
2.797 0.000 0.000
0.000 2.797 0.000
0.000 0.000 8.316
Pt Ru Ag
1 1 2
direct
0.000 0.000 0.519
0.500 0.500 0.735
0.000 0.000 0.990
0.500 0.500 0.256

---

<B>
Ag2RuPt GGA-PBE optimized geometry; DOS at the Fermi energy = 3.45 states/eV/cell; calculated volume = 16.459 Å³/atom; SG = No. 139; size of the total moment = 0.582 μB/atom
1.0
5.111 0.002 0.000
2.111 4.655 0.000
-3.611 -2.328 2.768
Pt Ag Ru
1 2 1
direct
0.250 0.750 0.500
0.500 0.500 0.000
0.000 0.000 0.000
0.750 0.250 0.500

---

<C>
Ag2RuPt GGA-PBE optimized geometry; DOS at the Fermi energy = 4.43 states/eV/cell; calculated volume = 16.549 Å³/atom; SG = No. 123; size of the total moment = 0.566 μB/atom
1.0
-4.334 -0.268 0.732
0.672 -0.550 3.779
-0.139 3.831 0.582
Ag Pt Ru
2 1 1
direct
0.000 0.000 0.000
0.000 0.500 0.500
0.500 0.500 0.000
0.500 0.000 0.500

---

<D>
Ag2RuPt GGA-PBE optimized geometry; DOS at the Fermi energy = 2.91 states/eV/cell; calculated volume = 16.401 Å³/atom; SG = No. 119; size of the total moment = 0.552 μB/atom
1.0
-3.860 1.208 -2.611
-3.165 -3.551 0.739
2.416 2.627 3.231
Pt Ru Ag
1 1 2
direct
0.500 0.500 0.000
0.750 0.250 0.500
0.000 0.000 0.000
0.250 0.750 0.500

---

<A> ends up most stable, edging out the next structure by 0.208 eV/atom.

---

<A>
AgRu2Pt2 GGA-PBE optimized geometry; DOS at the Fermi energy = 18.00 states/eV/cell; calculated volume = 16.293 Å³/atom; SG = No. 127; size of the total moment = 0.000 μB/atom
1.0
7.723 0.000 0.000
0.000 7.723 0.000
0.000 0.000 2.731
Ag Ru Pt
2 4 4
direct
0.500 0.500 0.000
0.000 0.000 0.000
0.884 0.616 0.000
0.616 0.116 0.000
0.384 0.884 0.000
0.116 0.384 0.000
0.820 0.320 0.500
0.680 0.820 0.500
0.180 0.680 0.500
0.320 0.180 0.500

---

<B>
AgRu2Pt2 GGA-PBE optimized geometry; DOS at the Fermi energy = 15.29 states/eV/cell; calculated volume = 16.372 Å³/atom; SG = No. 127; size of the total moment = 0.278 μB/atom
1.0
-4.499 5.860 -2.300
-6.281 -3.987 2.126
0.150 1.097 2.501
Pt Ag Ru
4 2 4
direct
0.624 0.124 0.000
0.876 0.624 0.000
0.376 0.876 0.000
0.124 0.376 0.000
0.500 0.500 0.000
0.000 0.000 0.000
0.174 0.674 0.500
0.826 0.326 0.500
0.674 0.826 0.500
0.326 0.174 0.500

---

<C>
AgRu2Pt2 GGA-PBE optimized geometry; DOS at the Fermi energy = 6.04 states/eV/cell; calculated volume = 17.264 Å³/atom; SG = No. 139; size of the total moment = 0.000 μB/atom
1.0
3.867 0.000 0.000
0.000 3.867 0.000
1.934 1.934 5.771
Pt Ru Ag
2 2 1
direct
0.750 0.250 0.500
0.250 0.750 0.500
0.403 0.403 0.194
0.597 0.597 0.806
0.000 0.000 0.000

---

<A> ends up most stable, edging out the next structure by 0.054 eV/atom.

---

<A>
Ag3PtS GGA-PBE optimized geometry; DOS at the Fermi energy = 6.08 states/eV/cell; calculated volume = 26.128 Å³/atom; SG = No. 221; size of the total moment = 0.000 μB/atom
1.0
-2.991 -3.908 -1.235
3.609 -3.236 1.498
-1.942 0.004 4.688
Ag S Pt
3 1 1
direct
0.000 0.500 0.000
0.000 0.000 0.500
0.500 0.000 0.000
0.500 0.500 0.500
0.000 0.000 0.000

---

<B>
Ag3PtS GGA-PBE optimized geometry; DOS at the Fermi energy = 4.39 states/eV/cell; calculated volume = 20.661 Å³/atom; SG = No. 221; size of the total moment = 0.000 μB/atom
1.0
4.692 0.000 0.000
0.000 4.692 0.000
0.000 0.000 4.692
Ag S Pt
3 1 1
direct
0.500 0.000 0.000
0.000 0.500 0.000
0.000 0.000 0.500
0.000 0.000 0.000
0.500 0.500 0.500

---

<B> ends up most stable, edging out the next structure by 0.411 eV/atom.